# 1
The following is a DFT calculation (PBE) of a relaxed structure of Th2RhC.

Raw total energy = -8.1286 eV/atom
DOS(E_F) = 3.0 states/eV/cell
Excess energy over the best structure of this formula in the dataset = 0.80 eV/f.u.
ΔH_f (0 K) = -0.275 eV per atom

The structure in POSCAR format:
```
Th2RhC
1.0
-1.554 -3.190 1.189
-0.066 -2.998 -2.240
5.673 -4.128 2.230
Rh Th C
1 2 1
direct
0.670 0.670 0.991 Rh
0.093 0.093 0.722 Th
0.243 0.243 0.270 Th
0.494 0.494 0.517 C
```

---

# 2
The following is a DFT calculation (PBE) of a relaxed structure of Sm5Er8Pb.

Raw total energy = -4.3887 eV/atom
DOS(E_F) = 17.3 states/eV/cell
ΔH_f (0 K) = 0.169 eV per atom

The structure in POSCAR format:
```
Sm5Er8Pb
1.0
8.019 0.000 -2.571
-4.089 6.756 -2.924
0.159 0.000 8.419
Er Pb Sm
8 1 5
direct
0.079 0.749 0.471 Er
0.529 0.608 0.279 Er
0.670 0.392 0.921 Er
0.174 0.734 0.070 Er
0.559 0.895 0.826 Er
0.930 0.105 0.664 Er
0.336 0.266 0.441 Er
0.721 0.251 0.330 Er
0.250 0.500 0.750 Pb
0.024 0.315 0.137 Sm
0.291 0.113 0.976 Sm
0.822 0.685 0.709 Sm
0.500 0.000 0.500 Sm
0.863 0.887 0.178 Sm
```

---

# 3
The following is a DFT calculation (PBE) of a relaxed structure of LiLaTl3.

Raw total energy = -2.3118 eV/atom
DOS(E_F) = 10.6 states/eV/cell
Excess energy over the best structure of this formula in the dataset = 3.53 eV/f.u.
ΔH_f (0 K) = 0.476 eV per atom

The structure in POSCAR format:
```
LiLaTl3
1.0
6.161 0.000 0.000
0.000 6.161 0.000
0.000 0.000 6.161
La Li Tl
1 1 3
direct
0.000 0.000 0.000 La
0.500 0.500 0.500 Li
0.500 0.000 0.000 Tl
0.000 0.000 0.500 Tl
0.000 0.500 0.000 Tl
```

---

# 4
The following is a DFT calculation (PBE) of a relaxed structure of BaRe2Si.

Raw total energy = -7.4116 eV/atom
DOS(E_F) = 3.5 states/eV/cell
Formation energy without anion corrections = 649 meV per atom

The structure in POSCAR format:
```
BaRe2Si
1.0
4.388 0.000 0.000
0.000 4.110 -0.010
0.000 0.829 5.631
Re Si Ba
2 1 1
direct
0.000 0.477 0.359 Re
0.000 0.023 0.141 Re
0.500 0.250 0.250 Si
0.500 0.750 0.750 Ba
```

---

# 5
The following is a DFT calculation (PBE) of a relaxed structure of KCdSb2Rh.

Raw total energy = -1.8362 eV/atom
DOS(E_F) = 9.7 states/eV/cell
Formation energy without anion corrections = 1686 meV per atom

The structure in POSCAR format:
```
KCdSb2Rh
1.0
5.737 0.000 0.000
0.000 5.542 0.000
0.000 0.000 5.737
K Sb Rh Cd
1 2 1 1
direct
0.000 0.000 0.000 K
0.000 0.000 0.500 Sb
0.500 0.000 0.000 Sb
0.500 0.500 0.500 Rh
0.000 0.500 0.000 Cd
```

---

# 6
The following is a DFT calculation (PBE) of a relaxed structure of SmPd2Pt2.

Raw total energy = -5.9505 eV/atom
DOS(E_F) = 14.2 states/eV/cell
ΔH_f (0 K) = -0.513 eV per atom

The structure in POSCAR format:
```
SmPd2Pt2
1.0
3.897 0.000 0.000
0.000 3.897 0.000
-1.948 -1.948 12.735
Pt Pd Sm
4 4 2
direct
0.750 0.250 0.500 Pt
0.250 0.750 0.500 Pt
0.074 0.074 0.149 Pt
0.926 0.926 0.851 Pt
0.500 0.000 0.000 Pd
0.176 0.176 0.351 Pd
0.824 0.824 0.649 Pd
0.000 0.500 0.000 Pd
0.623 0.623 0.247 Sm
0.377 0.377 0.753 Sm
```